[1]
{"formula": "MgBe3Cd", "functional": "PBE", "state": "optimized geometry", "crystal_system": "cubic", "polymorph_energy_ev_per_atom": 0.000, "energy_ev_per_cell": -8.839, "space_group": "Pm-3m", "lattice_angstrom": [[4.457, 0.000, 0.000], [0.000, 4.457, 0.000], [0.000, 0.000, 4.457]], "species": ["Mg", "Be", "Be", "Be", "Cd"], "frac_coords": [[0.000, 0.000, 0.000], [0.000, 0.500, 0.500], [0.500, 0.000, 0.500], [0.500, 0.500, 0.000], [0.500, 0.500, 0.500]]}

***

[2]
{"formula": "Hf4TcNi3", "functional": "PBE", "state": "optimized geometry", "crystal_system": "trigonal", "energy_ev_per_cell": -71.162, "space_group": "R-3m", "lattice_angstrom": [[2.270, 1.311, 7.382], [-2.270, 1.311, 7.382], [0.000, -2.621, 7.382]], "species": ["Hf", "Hf", "Hf", "Hf", "Tc", "Ni", "Ni", "Ni"], "frac_coords": [[0.124, 0.124, 0.124], [0.374, 0.374, 0.374], [0.626, 0.626, 0.626], [0.876, 0.876, 0.876], [0.500, 0.500, 0.500], [0.000, 0.000, 0.000], [0.247, 0.247, 0.247], [0.753, 0.753, 0.753]]}

***

[3]
{"formula": "Al2AgMo2", "functional": "PBE", "state": "optimized geometry", "crystal_system": "tetragonal", "energy_ev_per_cell": -62.453, "space_group": "P4/mbm", "lattice_angstrom": [[6.733, 0.000, 0.000], [0.000, 6.733, 0.000], [0.000, 0.000, 3.490]], "species": ["Al", "Al", "Al", "Al", "Ag", "Ag", "Mo", "Mo", "Mo", "Mo"], "frac_coords": [[0.130, 0.370, 0.000], [0.370, 0.870, 0.000], [0.630, 0.130, 0.000], [0.870, 0.630, 0.000], [0.000, 0.000, 0.000], [0.500, 0.500, 0.000], [0.170, 0.670, 0.500], [0.330, 0.170, 0.500], [0.670, 0.830, 0.500], [0.830, 0.330, 0.500]]}